[1]
Compound: CaNdDyCd
Source: Alexandria
Functional: GGA-PBE
Structure: optimized geometry

Cell lengths 5.573, 5.573, 5.573 Å; angles 60.00, 60.00, 60.00 degrees
Fractional positions:
Ca  0.000  0.000  0.000
Nd  0.250  0.250  0.250
Dy  0.750  0.750  0.750
Cd  0.500  0.500  0.500

## Properties
**Energy above the lowest structure with this stoichiometry**: 119 meV per atom
**Energy of formation from the pure elements**: -0.025 eV per atom



[2]
Compound: ZnInAu2
Source: Alexandria
Functional: GGA-PBE
Structure: optimized geometry

Cell lengths 3.161, 3.468, 6.768 Å; angles 90.00, 90.00, 90.00 degrees
Fractional positions:
Zn  0.000  0.000  0.000
In  0.000  0.000  0.500
Au  0.500  0.500  0.219
Au  0.500  0.500  0.781

## Properties
**Energy of formation from the pure elements**: -0.141 eV per atom



[3]
Compound: Ca3GeBr8
Source: Alexandria
Functional: GGA-PBE
Structure: optimized geometry

Cell lengths 8.485, 8.485, 8.583 Å; angles 120.35, 120.35, 60.03 degrees
Fractional positions:
Ca  0.000  0.000  0.000
Ca  0.000  0.500  0.000
Ca  0.500  0.000  0.000
Ge  0.500  0.500  0.000
Br  0.244  0.244  0.226
Br  0.250  0.739  0.224
Br  0.261  0.261  0.776
Br  0.261  0.750  0.776
Br  0.739  0.250  0.224
Br  0.739  0.739  0.224
Br  0.750  0.261  0.776
Br  0.756  0.756  0.774



[4]
Compound: Tl5Ag2Se4
Source: Alexandria
Functional: GGA-PBE
Structure: optimized geometry

Cell lengths 10.944, 10.944, 8.041 Å; angles 108.16, 108.16, 21.73 degrees
Fractional positions:
Tl  0.000  0.000  0.000
Tl  0.339  0.339  0.579
Tl  0.340  0.340  0.049
Tl  0.660  0.660  0.951
Tl  0.661  0.661  0.421
Ag  0.064  0.064  0.620
Ag  0.936  0.936  0.380
Se  0.193  0.193  0.715
Se  0.497  0.497  0.716
Se  0.503  0.503  0.284
Se  0.807  0.807  0.285



[5]
Compound: LiCaGa2Ag2
Source: Alexandria
Functional: GGA-PBE
Structure: optimized geometry

Cell lengths 4.574, 4.574, 6.654 Å; angles 90.00, 90.00, 120.00 degrees
Fractional positions:
Li  0.000  0.000  0.000
Ca  0.000  0.000  0.500
Ga  0.333  0.667  0.210
Ga  0.667  0.333  0.790
Ag  0.333  0.667  0.800
Ag  0.667  0.333  0.200

## Properties
**Energy of formation from the pure elements**: -0.317 eV per atom



[6]
Compound: HfSc2Ag
Source: Alexandria
Functional: GGA-PBE
Structure: optimized geometry

Cell lengths 4.958, 4.958, 4.958 Å; angles 60.00, 60.00, 60.00 degrees
Fractional positions:
Hf  0.000  0.000  0.000
Sc  0.250  0.250  0.250
Sc  0.750  0.750  0.750
Ag  0.500  0.500  0.500

## Properties
**Energy above the lowest structure with this stoichiometry**: 276 meV per atom
**Energy of formation from the pure elements**: 0.152 eV per atom



[7]
Compound: YSnMo3
Source: Alexandria
Functional: GGA-PBE
Structure: optimized geometry

Cell lengths 4.957, 4.957, 4.957 Å; angles 90.00, 90.00, 90.00 degrees
Fractional positions:
Y  0.000  0.000  0.000
Sn  0.500  0.500  0.500
Mo  0.000  0.500  0.500
Mo  0.500  0.000  0.500
Mo  0.500  0.500  0.000

## Properties
**Energy above the lowest structure with this stoichiometry**: 0 meV per atom
**Energy of formation from the pure elements**: 1.591 eV per atom



[8]
Compound: NbOsPtS2
Source: Alexandria
Functional: GGA-PBE
Structure: optimized geometry

Cell lengths 4.557, 4.557, 4.842 Å; angles 90.00, 90.00, 90.00 degrees
Fractional positions:
Nb  0.000  0.000  0.000
Os  0.500  0.500  0.000
Pt  0.500  0.500  0.500
S  0.000  0.500  0.500
S  0.500  0.000  0.500



[9]
Compound: Pa2TiNb
Source: Alexandria
Functional: GGA-PBE
Structure: optimized geometry

Cell lengths 5.304, 5.304, 3.136 Å; angles 90.00, 90.00, 90.00 degrees
Fractional positions:
Pa  0.000  0.500  0.000
Pa  0.500  0.000  0.000
Ti  0.000  0.000  0.500
Nb  0.500  0.500  0.500

## Properties
**Energy above the lowest structure with this stoichiometry**: 0 meV per atom
**Energy of formation from the pure elements**: 0.281 eV per atom



[10]
Compound: K2Sb4S7O
Source: Alexandria
Functional: GGA-PBE
Structure: optimized geometry

Cell lengths 7.583, 9.639, 11.684 Å; angles 79.28, 82.88, 77.60 degrees
Fractional positions:
K  0.071  0.205  0.437
K  0.217  0.830  0.892
K  0.783  0.170  0.108
K  0.929  0.795  0.563
Sb  0.007  0.320  0.771
Sb  0.239  0.370  0.043
Sb  0.347  0.940  0.175
Sb  0.462  0.436  0.655
Sb  0.538  0.564  0.345
Sb  0.653  0.060  0.825
Sb  0.761  0.630  0.957
Sb  0.993  0.680  0.229
S  0.040  0.936  0.275
S  0.054  0.571  0.842
S  0.161  0.173  0.946
S  0.277  0.493  0.472
S  0.308  0.627  0.148
S  0.377  0.180  0.212
S  0.472  0.826  0.366
S  0.528  0.174  0.634
S  0.623  0.820  0.788
S  0.692  0.373  0.852
S  0.723  0.507  0.528
S  0.839  0.827  0.054
S  0.946  0.429  0.158
S  0.960  0.064  0.725
O  0.204  0.915  0.446
O  0.796  0.085  0.554



[11]
Compound: NiSbW2
Source: Alexandria
Functional: GGA-PBE
Structure: optimized geometry

Cell lengths 2.862, 4.394, 5.322 Å; angles 90.00, 101.61, 90.00 degrees
Fractional positions:
Ni  0.000  0.000  0.000
Sb  0.500  0.000  0.500
W  0.268  0.500  0.768
W  0.732  0.500  0.232



[12]
Compound: BaLi2Al2
Source: Alexandria
Functional: GGA-PBE
Structure: optimized geometry

Cell lengths 6.110, 6.110, 6.110 Å; angles 130.71, 130.71, 72.28 degrees
Fractional positions:
Ba  0.000  0.000  0.000
Li  0.250  0.750  0.500
Li  0.750  0.250  0.500
Al  0.370  0.370  0.000
Al  0.630  0.630  0.000

## Properties
**Energy above the lowest structure with this stoichiometry**: 0 meV per atom
**Energy of formation from the pure elements**: -0.081 eV per atom



How do the records compare in magnetic moment? In the order shown, they have 0.00; 0.00; 0.00; 0.00; 0.00; 1.84; 0.00; 0.00; 0.00; 2.03; 0.00; 0.00 μB per formula unit.
How do the records compare in raw total energy? In the order shown, they have -3.10; -2.78; -3.67; -3.09; -2.93; -6.21; -7.00; -5.71; -8.96; -4.15; -8.42; -2.73 eV per atom.